(1)
## ZrSbCl3 (PBE)

Data for a relaxed ZrSbCl3 crystal.

Structure (CIF):
```
data_ZrSbCl3
_cell_length_a 5.439
_cell_length_b 5.439
_cell_length_c 5.439
_cell_angle_alpha 90.00
_cell_angle_beta 90.00
_cell_angle_gamma 90.00
_symmetry_space_group_name_H-M 'P m -3 m'
_symmetry_Int_Tables_number 221
_symmetry_space_group_name_Hall '-P 4 2 3'
loop_
_atom_site_label
_atom_site_fract_x
_atom_site_fract_y
_atom_site_fract_z
Zr1 0.000 0.000 0.000
Sb1 0.500 0.500 0.500
Cl1 0.000 0.500 0.500
```

Computed properties:
For the raw formation energy, the calculation gives 0.292 eV per atom. The energy is -16.753 eV/f.u. As for the polymorph energy (0 for the lowest one): 919 meV per atom. The value obtained for the volume is 32.2 Å³ per atom.



(2)
## Zr2Sb2Cl (PBE)

Data for a relaxed Zr2Sb2Cl crystal.

Structure (CIF):
```
data_Zr2Sb2Cl
_cell_length_a 7.842
_cell_length_b 7.842
_cell_length_c 3.844
_cell_angle_alpha 90.00
_cell_angle_beta 90.00
_cell_angle_gamma 90.00
_symmetry_space_group_name_H-M 'P 4/m b m'
_symmetry_Int_Tables_number 127
_symmetry_space_group_name_Hall '-P 4 2ab'
loop_
_atom_site_label
_atom_site_fract_x
_atom_site_fract_y
_atom_site_fract_z
Zr1 0.150 0.350 0.000
Sb1 0.144 0.644 0.500
Cl1 0.000 0.000 0.000
```

Computed properties:
For the raw formation energy, the calculation gives -0.749 eV per atom. The energy is -30.932 eV/f.u. As for the polymorph energy (0 for the lowest one): 0 meV per atom. The value obtained for the volume is 23.6 Å³ per atom.



(3)
## ZrSb4Cl (PBE)

Data for a relaxed ZrSb4Cl crystal.

Structure (CIF):
```
data_ZrSb4Cl
_cell_length_a 8.667
_cell_length_b 8.667
_cell_length_c 8.667
_cell_angle_alpha 90.00
_cell_angle_beta 90.00
_cell_angle_gamma 90.00
_symmetry_space_group_name_H-M 'F -4 3 m'
_symmetry_Int_Tables_number 216
_symmetry_space_group_name_Hall 'F -4 2 3'
loop_
_atom_site_label
_atom_site_fract_x
_atom_site_fract_y
_atom_site_fract_z
Zr1 0.000 0.000 0.000
Sb1 0.125 0.125 0.375
Cl1 0.250 0.250 0.750
```

Computed properties:
For the raw formation energy, the calculation gives 0.182 eV per atom. The energy is -25.794 eV/f.u. The value obtained for the volume is 27.1 Å³ per atom.



(4)
## Zr2Sb2Cl (PBE)

Data for a relaxed Zr2Sb2Cl crystal.

Structure (CIF):
```
data_Zr2Sb2Cl
_cell_length_a 8.640
_cell_length_b 8.640
_cell_length_c 3.337
_cell_angle_alpha 90.00
_cell_angle_beta 90.00
_cell_angle_gamma 90.00
_symmetry_space_group_name_H-M 'P 4/m b m'
_symmetry_Int_Tables_number 127
_symmetry_space_group_name_Hall '-P 4 2ab'
loop_
_atom_site_label
_atom_site_fract_x
_atom_site_fract_y
_atom_site_fract_z
Zr1 0.149 0.351 0.000
Sb1 0.142 0.642 0.500
Cl1 0.000 0.000 0.500
```

Computed properties:
For the raw formation energy, the calculation gives -0.402 eV per atom. The energy is -29.196 eV/f.u. As for the polymorph energy (0 for the lowest one): 347 meV per atom. The value obtained for the volume is 24.9 Å³ per atom.



(5)
## ScCl3 (PBE)

Data for a relaxed ScCl3 crystal.

Structure (CIF):
```
data_ScCl3
_cell_length_a 4.2291
_cell_length_b 4.2291
_cell_length_c 17.8061
_cell_angle_alpha 90.00
_cell_angle_beta 90.00
_cell_angle_gamma 120.00
_symmetry_space_group_name_H-M 'R -3 m'
_symmetry_Int_Tables_number 166
_symmetry_space_group_name_Hall '-R 3 2"'
loop_
_atom_site_label
_atom_site_fract_x
_atom_site_fract_y
_atom_site_fract_z
Sc1 0.0000 0.0000 0.0000
Cl1 0.0000 0.0000 0.2800
Cl2 0.0000 0.0000 0.5000
```

Computed properties:
For the raw formation energy, the calculation gives -1.406 eV per atom. The energy is -17.495 eV/f.u. The value obtained for the volume is 23.0 Å³ per atom.



(6)
## ScCl3 (PBE)

Data for a relaxed ScCl3 crystal.

Structure (CIF):
```
data_ScCl3
_cell_length_a 3.351
_cell_length_b 5.035
_cell_length_c 13.293
_cell_angle_alpha 90.00
_cell_angle_beta 90.00
_cell_angle_gamma 90.00
_symmetry_space_group_name_H-M 'I m m m'
_symmetry_Int_Tables_number 71
_symmetry_space_group_name_Hall '-I 2 2'
loop_
_atom_site_label
_atom_site_fract_x
_atom_site_fract_y
_atom_site_fract_z
Sc1 0.000 0.000 0.000
Cl1 0.000 0.000 0.500
Cl2 0.000 0.500 0.360
```

Computed properties:
For the raw formation energy, the calculation gives -1.756 eV per atom. The energy is -18.894 eV/f.u. The value obtained for the volume is 28.0 Å³ per atom.